First-principles (PBE-GGA) data for a relaxed Pr2Ni3P4Pt crystal, as listed in Alexandria via LeMat-Bulk.

a = 4.133 Å, b = 4.133 Å, c = 9.333 Å
α = 90.00°, β = 90.00°, γ = 90.00°
Fractional positions:
Pr (0.000, 0.500, 0.241)
Pr (0.500, 0.000, 0.759)
Ni (0.000, 0.500, 0.889)
Ni (0.500, 0.000, 0.111)
Ni (0.500, 0.500, 0.500)
P (0.000, 0.000, 0.000)
P (0.000, 0.500, 0.638)
P (0.500, 0.000, 0.362)
P (0.500, 0.500, 0.000)
Pt (0.000, 0.000, 0.500)

Calculated values
symmetry: P-4m2 (115)
M_tot: 0.00 μB per atom

First-principles (PBE-GGA) data for a relaxed PrPuNi2P2 crystal, as listed in Alexandria via LeMat-Bulk.

a = 3.942 Å, b = 3.942 Å, c = 8.003 Å
α = 90.00°, β = 90.00°, γ = 120.00°
Fractional positions:
Pr (0.000, 0.000, 0.000)
Pu (0.000, 0.000, 0.500)
Ni (0.333, 0.667, 0.738)
Ni (0.667, 0.333, 0.262)
P (0.333, 0.667, 0.258)
P (0.667, 0.333, 0.742)

Calculated values
symmetry: P-3m1 (164)
M_tot: 0.86 μB per atom

First-principles (PBE-GGA) data for a relaxed Pr3NiP2Rh9 crystal, as listed in Alexandria via LeMat-Bulk.

a = 6.152 Å, b = 6.152 Å, c = 8.499 Å
α = 90.00°, β = 90.00°, γ = 120.00°
Fractional positions:
Pr (0.000, 0.000, 0.000)
Pr (0.333, 0.667, 0.645)
Pr (0.667, 0.333, 0.355)
Ni (0.000, 0.000, 0.500)
P (0.333, 0.667, 0.168)
P (0.667, 0.333, 0.832)
Rh (0.000, 0.500, 0.000)
Rh (0.154, 0.308, 0.293)
Rh (0.154, 0.846, 0.293)
Rh (0.308, 0.154, 0.707)
Rh (0.500, 0.000, 0.000)
Rh (0.500, 0.500, 0.000)
Rh (0.692, 0.846, 0.293)
Rh (0.846, 0.154, 0.707)
Rh (0.846, 0.692, 0.707)

Calculated values
symmetry: P-3m1 (164)
M_tot: 0.00 μB per atom

no.,formation energy from the elements (meV/atom)
1,-972
2,-1023
3,-513